# SrZnSi2

An optimized crystal structure of SrZnSi2 (GGA-PBEsol, the Alexandria database).

Lattice parameters (Å, degrees): 3.6949 3.9638 11.7328 90.00 90.00 90.00
With the nearest neighbours (Å) after each atom.
Space group Imm2 (No. 44)
Symmetry-distinct sites (fractional):
Sr 0.0000 0.0000 0.0000 (multiplicity 2)  6 Si 3.16-3.22, 2 Zn 3.36
Zn 0.0000 0.5000 0.7683 (multiplicity 2)  6 Si 2.50-2.71
Si 0.0000 0.0000 0.6381 (multiplicity 2)  2 Si 2.45, 2 Zn 2.50
Si 0.0000 0.5000 0.2752 (multiplicity 2)  2 Si 2.45, 4 Zn 2.71

Computed properties:
Crystal system = orthorhombic
Size of the total moment = 0.0 μB per cell
Energy relative to the elements, uncorrected = -0.541 eV/f.u.

***

# CdGePS2

An optimized crystal structure of CdGePS2 (GGA-PBEsol, the Alexandria database).

Lattice parameters (Å, degrees): 4.6459 4.6459 4.7023 90.00 90.00 90.00
With the nearest neighbours (Å) after each atom.
Space group P4/mmm (No. 123)
Symmetry-distinct sites (fractional):
Cd 0.0000 0.0000 0.0000 (multiplicity 1)  4 P 3.29, 8 S 3.31
Ge 0.5000 0.5000 0.5000 (multiplicity 1)  4 S 2.32, 2 P 2.35
P 0.5000 0.5000 0.0000 (multiplicity 1)  2 Ge 2.35
S 0.0000 0.5000 0.5000 (multiplicity 2)  2 Ge 2.32

Computed properties:
Crystal system = tetragonal
Size of the total moment = 0.0 μB per cell
Energy relative to the elements, uncorrected = 2.412 eV/f.u.